(1)
Here is a geometry-optimized Sm2Al9Co3 structure from Alexandria. Energies are from PBE.

Output
Calculated formation energy in eV per atom: -0.541
Energy above the lowest structure with this stoichiometry in meV/atom: 2
SG: C2/c

```
Sm2Al9Co3
1.0
6.480 -3.708 0.000
6.480 3.708 0.000
-4.349 0.000 9.444
Sm Al Co
4 18 6
direct
0.086 0.253 0.250
0.253 0.086 0.750
0.747 0.914 0.250
0.914 0.747 0.750
0.021 0.858 0.070
0.142 0.979 0.430
0.191 0.357 0.567
0.209 0.581 0.253
0.317 0.487 0.956
0.357 0.191 0.067
0.366 0.634 0.750
0.419 0.791 0.247
0.487 0.317 0.456
0.513 0.683 0.544
0.581 0.209 0.753
0.634 0.366 0.250
0.643 0.809 0.933
0.683 0.513 0.044
0.791 0.419 0.747
0.809 0.643 0.433
0.858 0.021 0.570
0.979 0.142 0.930
0.000 0.500 0.000
0.159 0.670 0.499
0.330 0.841 0.001
0.500 0.000 0.500
0.670 0.159 0.999
0.841 0.330 0.501
```

(2)
Here is a geometry-optimized In2PIr2 structure from Alexandria. Energies are from PBE.

Output
Calculated formation energy in eV per atom: 0.221
SG: P4/mbm

```
In2PIr2
1.0
7.603 0.000 0.000
0.000 7.603 0.000
0.000 0.000 3.131
In P Ir
4 2 4
direct
0.148 0.352 0.000
0.352 0.852 0.000
0.648 0.148 0.000
0.852 0.648 0.000
0.000 0.000 0.500
0.500 0.500 0.500
0.152 0.652 0.500
0.348 0.152 0.500
0.652 0.848 0.500
0.848 0.348 0.500
```

(3)
Here is a geometry-optimized CuSe5 structure from Alexandria. Energies are from PBE.

Output
Energy above the lowest structure with this stoichiometry in meV/atom: 740
Formation energy without anion corrections in eV/atom: 0.801
SG: F-43m

```
CuSe5
1.0
0.000 3.992 3.992
3.992 0.000 3.992
3.992 3.992 0.000
Cu Se
1 5
direct
0.000 0.000 0.000
0.377 0.377 0.377
0.377 0.377 0.870
0.377 0.870 0.377
0.750 0.750 0.750
0.870 0.377 0.377
```

(4)
Here is a geometry-optimized Er8InNi2 structure from Alexandria. Energies are from PBE.

Output
Calculated formation energy in eV per atom: -0.189
SG: C2/m

```
Er8InNi2
1.0
4.292 -6.610 0.000
4.292 6.610 0.000
-1.274 0.000 5.086
Er In Ni
8 1 2
direct
0.075 0.331 0.575
0.249 0.751 0.000
0.331 0.075 0.575
0.391 0.391 0.197
0.609 0.609 0.803
0.669 0.925 0.425
0.751 0.249 0.000
0.925 0.669 0.425
0.000 0.000 0.000
0.307 0.693 0.500
0.693 0.307 0.500
```

(5)
Here is a geometry-optimized AcTaBiO6 structure from Alexandria. Energies are from PBE.

Output
Formation energy without anion corrections in eV/atom: -2.339
SG: P4_2nm

```
AcTaBiO6
1.0
5.215 0.000 0.000
0.000 5.215 0.000
0.000 0.000 10.502
Ac Ta Bi O
2 2 2 12
direct
0.000 0.000 0.000
0.500 0.500 0.500
0.000 0.000 0.666
0.500 0.500 0.166
0.000 0.000 0.330
0.500 0.500 0.830
0.171 0.171 0.514
0.191 0.191 0.801
0.226 0.226 0.178
0.274 0.726 0.678
0.309 0.691 0.301
0.329 0.671 0.014
0.671 0.329 0.014
0.691 0.309 0.301
0.726 0.274 0.678
0.774 0.774 0.178
0.809 0.809 0.801
0.829 0.829 0.514
```

(6)
Here is a geometry-optimized Cu7GeAu4 structure from Alexandria. Energies are from PBE.

Output
Calculated formation energy in eV per atom: 0.034
SG: P-1

```
Cu7GeAu4
1.0
4.337 0.000 0.000
-0.601 4.889 0.000
-1.275 -1.986 8.489
Cu Ge Au
7 1 4
direct
0.000 0.000 0.000
0.224 0.862 0.473
0.329 0.432 0.595
0.470 0.664 0.900
0.530 0.336 0.100
0.671 0.568 0.405
0.776 0.138 0.527
0.000 0.500 0.000
0.092 0.288 0.297
0.495 0.116 0.784
0.505 0.884 0.216
0.908 0.712 0.703
```

(7)
Here is a geometry-optimized CdBi3H2Pd9 structure from Alexandria. Energies are from PBE.

Output
Total energy in eV/cell: -68.48
SG: P-3m1

```
CdBi3H2Pd9
1.0
5.678 0.000 0.000
-2.839 4.917 0.000
0.000 0.000 9.128
Cd Bi H Pd
1 3 2 9
direct
0.000 0.000 0.000
0.000 0.000 0.500
0.333 0.667 0.130
0.667 0.333 0.870
0.333 0.667 0.615
0.667 0.333 0.385
0.000 0.500 0.500
0.170 0.340 0.765
0.170 0.830 0.765
0.340 0.170 0.235
0.500 0.000 0.500
0.500 0.500 0.500
0.660 0.830 0.765
0.830 0.170 0.235
0.830 0.660 0.235
```

(8)
Here is a geometry-optimized SrZrTe structure from Alexandria. Energies are from PBE.

Output
Energy above the lowest structure with this stoichiometry in meV/atom: 59
Formation energy without anion corrections in eV/atom: -0.420
SG: P3m1

```
SrZrTe
1.0
3.962 0.000 0.000
-1.981 3.431 0.000
0.000 0.000 7.090
Sr Zr Te
1 1 1
direct
0.000 0.000 0.000
0.333 0.667 0.589
0.667 0.333 0.339
```

(9)
Here is a geometry-optimized PmDy12Ho6 structure from Alexandria. Energies are from PBE.

Output
Calculated formation energy in eV per atom: 0.441
Energy above the lowest structure with this stoichiometry in meV/atom: 286
SG: R-3m

```
PmDy12Ho6
1.0
7.525 4.344 3.311
-7.525 4.344 3.311
0.000 -8.689 3.311
Pm Dy Ho
1 12 6
direct
0.000 0.000 0.000
0.110 0.500 0.890
0.110 0.890 0.500
0.153 0.369 0.369
0.369 0.153 0.369
0.369 0.369 0.153
0.500 0.110 0.890
0.500 0.890 0.110
0.631 0.631 0.847
0.631 0.847 0.631
0.847 0.631 0.631
0.890 0.110 0.500
0.890 0.500 0.110
0.259 0.684 0.684
0.316 0.316 0.741
0.316 0.741 0.316
0.684 0.259 0.684
0.684 0.684 0.259
0.741 0.316 0.316
```

(10)
Here is a geometry-optimized Zr8Al2Sn structure from Alexandria. Energies are from PBE.

Output
Calculated formation energy in eV per atom: -0.149
SG: C2/m

```
Zr8Al2Sn
1.0
3.968 -6.612 0.000
3.968 6.612 0.000
-2.134 0.000 4.712
Zr Al Sn
8 2 1
direct
0.083 0.319 0.628
0.226 0.774 0.000
0.319 0.083 0.628
0.413 0.413 0.206
0.587 0.587 0.794
0.681 0.917 0.372
0.774 0.226 0.000
0.917 0.681 0.372
0.307 0.693 0.500
0.693 0.307 0.500
0.000 0.000 0.000
```

(11)
Here is a geometry-optimized SmYIrRu structure from Alexandria. Energies are from PBE.

Output
Calculated formation energy in eV per atom: -0.487
SG: F-43m

```
SmYIrRu
1.0
6.909 0.000 0.000
0.000 6.909 0.000
0.000 0.000 6.909
Sm Y Ir Ru
4 4 4 4
direct
0.000 0.000 0.000
0.000 0.500 0.500
0.500 0.000 0.500
0.500 0.500 0.000
0.000 0.000 0.500
0.000 0.500 0.000
0.500 0.000 0.000
0.500 0.500 0.500
0.250 0.250 0.250
0.250 0.750 0.750
0.750 0.250 0.750
0.750 0.750 0.250
0.250 0.250 0.750
0.250 0.750 0.250
0.750 0.250 0.250
0.750 0.750 0.750
```

(12)
Here is a geometry-optimized Ca2Al2ZnNi5 structure from Alexandria. Energies are from PBE.

Output
Calculated formation energy in eV per atom: -0.211
SG: P4/mbm

```
Ca2Al2ZnNi5
1.0
10.140 0.000 0.000
0.000 10.140 0.000
0.000 0.000 2.982
Ca Al Zn Ni
4 4 2 10
direct
0.172 0.328 0.000
0.328 0.828 0.000
0.672 0.172 0.000
0.828 0.672 0.000
0.130 0.630 0.000
0.370 0.130 0.000
0.630 0.870 0.000
0.870 0.370 0.000
0.000 0.000 0.000
0.500 0.500 0.000
0.000 0.500 0.500
0.058 0.808 0.500
0.192 0.058 0.500
0.308 0.558 0.500
0.442 0.308 0.500
0.500 0.000 0.500
0.558 0.692 0.500
0.692 0.442 0.500
0.808 0.942 0.500
0.942 0.192 0.500
```